No. 1
VASP calculation (PBE-GGA) on a relaxed structure of DyTm3S6.

Structure (POSCAR):
```
DyTm3S6
1.0
3.904 0.000 0.000
0.000 10.331 -3.545
0.000 0.017 11.181
Dy Tm S
2 6 12
Direct
0.250 0.955 0.308
0.750 0.045 0.692
0.250 0.565 0.168
0.250 0.318 0.498
0.750 0.682 0.502
0.750 0.161 0.085
0.250 0.839 0.915
0.750 0.435 0.832
0.250 0.603 0.938
0.750 0.397 0.062
0.250 0.082 0.903
0.250 0.257 0.725
0.750 0.112 0.463
0.750 0.743 0.275
0.750 0.807 0.751
0.250 0.888 0.537
0.750 0.477 0.613
0.250 0.523 0.387
0.750 0.918 0.097
0.250 0.193 0.249
```

## Properties
Its energy above the most stable polymorph in this dataset is 0.000 eV/f.u. The formation energy without anion corrections is -2073 meV/atom. The calculation puts the magnetization at 0.0 μB per formula unit.

No. 2
VASP calculation (PBE-GGA) on a relaxed structure of DyTmS2.

Structure (POSCAR):
```
DyTmS2
1.0
-0.285 0.700 -3.719
0.327 -2.840 -2.496
-6.597 -1.748 -1.761
S Tm Dy
2 1 1
Direct
0.253 0.253 0.241
0.080 0.080 0.760
0.673 0.673 0.982
0.494 0.494 0.517
```

## Properties
Its energy above the most stable polymorph in this dataset is 0.085 eV/f.u. The formation energy without anion corrections is -1943 meV/atom. The calculation puts the magnetization at 0.0 μB per formula unit.

No. 3
VASP calculation (PBE-GGA) on a relaxed structure of Dy3TmS.

Structure (POSCAR):
```
Dy3TmS
1.0
5.281 0.000 0.000
0.000 5.281 0.000
0.000 0.000 5.281
Tm S Dy
1 1 3
Direct
0.500 0.500 0.500
0.000 0.000 0.000
0.000 0.500 0.000
0.000 0.000 0.500
0.500 0.000 0.000
```

## Properties
The formation energy without anion corrections is -643 meV/atom. The calculation puts the magnetization at 0.0 μB per formula unit.

No. 4
VASP calculation (PBE-GGA) on a relaxed structure of Dy3Tm5S8.

Structure (POSCAR):
```
Dy3Tm5S8
1.0
0.415 0.230 7.714
-4.574 -4.551 4.253
3.023 -5.967 3.887
Dy S Tm
3 8 5
Direct
0.500 0.000 0.500
0.000 0.000 0.500
0.000 0.500 0.500
0.250 0.250 0.754
0.748 0.748 0.757
0.254 0.750 0.246
0.746 0.250 0.754
0.750 0.750 0.246
0.750 0.254 0.246
0.250 0.746 0.754
0.252 0.252 0.243
0.000 0.500 0.000
0.500 0.500 0.000
0.500 0.500 0.500
0.000 0.000 0.000
0.500 0.000 0.000
```

## Properties
The formation energy without anion corrections is -1949 meV/atom. The calculation puts the magnetization at 0.0 μB per formula unit.

No. 5
VASP calculation (PBE-GGA) on a relaxed structure of Dy2Tm3S4.

Structure (POSCAR):
```
Dy2Tm3S4
1.0
3.820 0.000 0.002
-1.910 3.308 -0.002
-0.008 0.005 15.757
Dy Tm S
2 3 4
Direct
0.667 0.333 0.794
0.333 0.667 0.206
0.666 0.334 0.412
0.000 0.000 0.000
0.334 0.666 0.588
0.333 0.667 0.900
0.000 0.000 0.691
0.000 0.000 0.309
0.667 0.333 0.100
```

## Properties
The formation energy without anion corrections is -1736 meV/atom. The calculation puts the magnetization at 0.0 μB per formula unit.

No. 6
VASP calculation (PBE-GGA) on a relaxed structure of Dy4TmS5.

Structure (POSCAR):
```
Dy4TmS5
1.0
-3.351 1.985 -0.050
-0.844 -1.291 5.275
6.830 7.712 0.117
Tm S Dy
1 5 4
Direct
0.000 0.000 0.000
0.200 0.700 0.401
0.402 0.902 0.804
0.800 0.300 0.599
0.598 0.098 0.196
0.000 0.500 0.000
0.801 0.801 0.601
0.400 0.400 0.799
0.600 0.600 0.201
0.199 0.199 0.399
```

## Properties
The formation energy without anion corrections is -1976 meV/atom. The calculation puts the magnetization at 0.0 μB per formula unit.

No. 7
VASP calculation (PBE-GGA) on a relaxed structure of Dy2TmS3.

Structure (POSCAR):
```
Dy2TmS3
1.0
-2.878 -2.620 -0.088
1.194 -1.136 -5.230
4.550 -2.254 4.403
S Tm Dy
3 1 2
Direct
0.837 0.337 0.174
0.163 0.663 0.826
0.500 0.000 0.500
0.500 0.500 0.500
0.831 0.831 0.162
0.169 0.169 0.838
```

## Properties
The formation energy without anion corrections is -1970 meV/atom. The calculation puts the magnetization at 0.0 μB per formula unit.

No. 8
VASP calculation (PBE-GGA) on a relaxed structure of Dy3Tm2S8.

Structure (POSCAR):
```
Dy3Tm2S8
1.0
-5.475 -3.064 -2.236
4.399 -5.997 -2.553
-0.950 1.178 7.706
S Tm Dy
8 2 3
Direct
0.099 0.382 0.763
0.416 0.361 0.252
0.901 0.618 0.237
0.584 0.109 0.748
0.931 0.119 0.237
0.416 0.891 0.252
0.584 0.639 0.748
0.069 0.881 0.763
0.342 0.261 0.523
0.658 0.739 0.477
0.000 0.263 0.000
0.500 0.000 0.000
0.000 0.737 0.000
```

## Properties
The formation energy without anion corrections is -1866 meV/atom. The calculation puts the magnetization at 0.0 μB per formula unit.